No. 1
Density functional theory data (GGA-PBE) for CaGaH3 after structural relaxation.

Cell: 4.278 4.278 4.278 Å, 90.00 90.00 90.00°
Sites, in units of the cell vectors:
Ca (0.000, 0.000, 0.000)
Ga (0.500, 0.500, 0.500)
H (0.000, 0.000, 0.500)
H (0.000, 0.500, 0.000)
H (0.500, 0.000, 0.000)

Summary:
**Energy relative to the lowest polymorph listed for this composition**: 286 meV per atom
**Space-group type**: Pm-3m, No. 221

***

No. 2
Density functional theory data (GGA-PBE) for Nd4TlNi after structural relaxation.

Cell: 5.925 7.139 8.645 Å, 90.00 104.49 90.00°
Sites, in units of the cell vectors:
Nd (0.123, 0.250, 0.056)
Nd (0.229, 0.750, 0.372)
Nd (0.335, 0.506, 0.778)
Nd (0.335, 0.994, 0.778)
Nd (0.665, 0.006, 0.222)
Nd (0.665, 0.494, 0.222)
Nd (0.771, 0.250, 0.628)
Nd (0.877, 0.750, 0.944)
Tl (0.211, 0.250, 0.433)
Tl (0.789, 0.750, 0.567)
Ni (0.348, 0.750, 0.052)
Ni (0.652, 0.250, 0.948)

Summary:
**Energy relative to the lowest polymorph listed for this composition**: 0 meV per atom
**Space-group type**: P2_1/m, No. 11
**DFT formation energy**: -0.2202 eV per atom

***

Number 1: uncorrected energy -2.969 eV per atom. Number 2: uncorrected energy -4.757 eV per atom.